Record 1
Y2AgAu: relaxed, PBE.

Unit cell a=5.951 b=5.951 c=5.951 alpha=137.59 beta=137.59 gamma=61.54
Sites, in units of the cell vectors:
Ag (0.500, 0.500, 0.000)
Y (0.250, 0.750, 0.500)
Y (0.000, 0.000, 0.000)
Au (0.750, 0.250, 0.500)

Calculated values
Calculated formation energy, eV per atom: -0.38
Calculated density, Mg/m³: 8.5
Symmetry: I-4m2, No. 119
D(E_F), states/eV/cell: 5.14
Final energy, eV/atom: -5.14
Size of the total moment, μB per formula unit: 0.003

---

Record 2
YRe2Pb: relaxed, PBE.

Unit cell a=3.592 b=3.592 c=6.254 alpha=90.00 beta=90.00 gamma=90.00
Sites, in units of the cell vectors:
Y (0.500, 0.500, 0.250)
Pb (0.500, 0.500, 0.750)
Re (0.000, 0.000, 0.970)
Re (0.000, 0.000, 0.530)

Calculated values
Calculated formation energy, eV per atom: 0.78
Calculated density, Mg/m³: 13.8
Symmetry: P4/mmm, No. 123
D(E_F), states/eV/cell: 4.38
Final energy, eV/atom: -7.99
Size of the total moment, μB per formula unit: 0.000

---

Record 3
MnTl3Cl5: relaxed, PBE.

Unit cell a=8.531 b=8.531 c=9.602 alpha=116.38 beta=116.38 gamma=90.00
Sites, in units of the cell vectors:
Tl (0.664, 0.164, 0.000)
Cl (0.193, 0.000, 0.692)
Mn (0.750, 0.250, 0.500)
Cl (0.000, 0.000, 0.000)
Cl (0.807, 0.000, 0.308)
Tl (0.836, 0.664, 0.000)
Mn (0.250, 0.750, 0.500)
Tl (0.336, 0.836, 0.000)
Cl (0.693, 0.193, 0.692)
Cl (0.307, 0.807, 0.308)
Cl (0.500, 0.307, 0.308)
Tl (0.250, 0.250, 0.500)
Tl (0.164, 0.336, 0.000)
Cl (0.500, 0.693, 0.692)
Cl (0.000, 0.500, 0.692)
Tl (0.750, 0.750, 0.500)
Cl (0.000, 0.500, 0.308)
Cl (0.500, 0.500, 0.000)

Calculated values
Calculated density, Mg/m³: 5.2
Symmetry: I4/mcm, No. 140
D(E_F), states/eV/cell: 0.00
Final energy, eV/atom: -3.88
Formation energy (no corrections), eV/atom: -1.046
Size of the total moment, μB per formula unit: 5.000

---

Record 4
Rb2NaBiF6: relaxed, PBE.

Unit cell a=6.474 b=6.474 c=6.474 alpha=60.00 beta=60.00 gamma=60.00
Sites, in units of the cell vectors:
Bi (0.000, 0.000, 0.000)
Rb (0.250, 0.250, 0.250)
F (0.248, 0.752, 0.752)
Rb (0.750, 0.750, 0.750)
Na (0.500, 0.500, 0.500)
F (0.752, 0.752, 0.248)
F (0.248, 0.752, 0.248)
F (0.752, 0.248, 0.752)
F (0.752, 0.248, 0.248)
F (0.248, 0.248, 0.752)

Calculated values
Calculated density, Mg/m³: 4.5
Symmetry: Fm-3m, No. 225
D(E_F), states/eV/cell: 0.00
Final energy, eV/atom: -4.51
Formation energy (no corrections), eV/atom: -2.670
Size of the total moment, μB per formula unit: 0.000

---

Record 5
Pu2Mo2N3: relaxed, PBE.

Unit cell a=3.262 b=5.645 c=6.030 alpha=111.96 beta=105.69 gamma=90.00
Sites, in units of the cell vectors:
Pu (0.396, 0.178, 0.791)
Mo (0.839, 0.654, 0.679)
N (0.247, 0.755, 0.494)
N (0.000, 0.000, 0.000)
Pu (0.604, 0.822, 0.209)
N (0.753, 0.245, 0.506)
Mo (0.161, 0.346, 0.321)

Calculated values
Calculated density, Mg/m³: 12.2
Symmetry: C2/m, No. 12
D(E_F), states/eV/cell: 15.86
Final energy, eV/atom: -11.56
Formation energy (no corrections), eV/atom: -0.801
Size of the total moment, μB per formula unit: 9.472

---

Record 6
Zr2CdSe: relaxed, PBE.

Unit cell a=9.240 b=9.240 c=9.240 alpha=21.63 beta=21.63 gamma=21.63
Sites, in units of the cell vectors:
Zr (0.253, 0.253, 0.253)
Se (0.743, 0.743, 0.743)
Zr (0.008, 0.008, 0.008)
Cd (0.496, 0.496, 0.496)

Calculated values
Calculated density, Mg/m³: 6.6
Symmetry: R3m, No. 160
D(E_F), states/eV/cell: 2.60
Final energy, eV/atom: -5.77
Formation energy (no corrections), eV/atom: -0.392
Size of the total moment, μB per formula unit: 0.000

---

Record 7
Sm4PdPt2: relaxed, PBE.

Unit cell a=7.958 b=7.959 c=7.960 alpha=109.82 beta=109.74 gamma=108.86
Sites, in units of the cell vectors:
Sm (0.927, 0.234, 0.308)
Sm (0.926, 0.619, 0.692)
Sm (0.869, 0.677, 0.193)
Pd (0.250, 0.749, 0.500)
Pt (0.625, 0.875, 0.250)
Sm (0.381, 0.074, 0.307)
Pt (0.625, 0.375, 0.250)
Sm (0.324, 0.516, 0.193)
Sm (0.323, 0.131, 0.807)
Pt (0.625, 0.375, 0.750)
Sm (0.484, 0.676, 0.807)
Pd (0.001, 0.001, 0.000)
Pt (0.125, 0.375, 0.750)
Sm (0.766, 0.073, 0.693)

Calculated values
Calculated formation energy, eV per atom: -0.82
Calculated density, Mg/m³: 9.4
Symmetry: Imma, No. 74
D(E_F), states/eV/cell: 11.07
Final energy, eV/atom: -5.99
Size of the total moment, μB per formula unit: 0.000

---

Record 8
ReHN2F: relaxed, PBE.

Unit cell a=3.826 b=3.826 c=2.622 alpha=90.00 beta=90.00 gamma=90.00
Sites, in units of the cell vectors:
H (0.000, 0.000, 0.000)
N (0.500, 0.000, 0.000)
N (0.000, 0.500, 0.000)
Re (0.500, 0.500, 0.500)
F (0.000, 0.000, 0.500)

Calculated values
Calculated density, Mg/m³: 10.1
Symmetry: P4/mmm, No. 123
D(E_F), states/eV/cell: 1.92
Final energy, eV/atom: -5.63
Size of the total moment, μB per formula unit: 0.335

---

Record 9
Cs2Ga2Au: relaxed, PBE.

Unit cell a=7.435 b=7.435 c=6.441 alpha=54.75 beta=54.75 gamma=90.00
Sites, in units of the cell vectors:
Cs (0.250, 0.750, 0.500)
Ga (0.661, 0.661, 0.678)
Ga (0.339, 0.339, 0.322)
Cs (0.750, 0.250, 0.500)
Au (0.000, 0.000, 0.000)

Calculated values
Calculated formation energy, eV per atom: 0.01
Calculated density, Mg/m³: 4.9
Symmetry: I4/mmm, No. 139
D(E_F), states/eV/cell: 2.69
Final energy, eV/atom: -2.19
Size of the total moment, μB per formula unit: 1.000

---

Record 10
MgTl2In: relaxed, PBE.

Unit cell a=6.519 b=6.519 c=6.519 alpha=148.24 beta=130.83 gamma=59.73
Sites, in units of the cell vectors:
In (0.484, 0.484, 0.000)
Mg (0.254, 0.754, 0.500)
Tl (0.016, 0.016, 0.000)
Tl (0.746, 0.246, 0.500)

Calculated values
Calculated formation energy, eV per atom: 0.01
Calculated density, Mg/m³: 8.3
Symmetry: Imm2, No. 44
D(E_F), states/eV/cell: 1.39
Final energy, eV/atom: -2.26
Size of the total moment, μB per formula unit: 0.000

---

Record 11
ScTa3Ru4: relaxed, PBE.

Unit cell a=3.139 b=4.539 c=9.036 alpha=90.00 beta=90.00 gamma=90.00
Sites, in units of the cell vectors:
Ru (0.000, 0.000, 0.500)
Ta (0.500, 0.000, 0.752)
Ru (0.000, 0.500, 0.743)
Ru (0.000, 0.000, 0.000)
Ta (0.500, 0.500, 0.500)
Sc (0.500, 0.500, 0.000)
Ru (0.000, 0.500, 0.257)
Ta (0.500, 0.000, 0.248)

Calculated values
Calculated formation energy, eV per atom: -0.46
Calculated density, Mg/m³: 12.8
Symmetry: Pmmm, No. 47
D(E_F), states/eV/cell: 6.35
Final energy, eV/atom: -10.34
Size of the total moment, μB per formula unit: 0.000

---

Record 12
Cs2UNiSe4: relaxed, PBE.

Unit cell a=7.242 b=7.242 c=7.242 alpha=102.22 beta=113.21 gamma=113.21
Sites, in units of the cell vectors:
Se (0.375, 0.841, 0.725)
U (0.500, 0.250, 0.750)
Se (0.884, 0.535, 0.159)
Se (0.116, 0.275, 0.650)
Ni (0.000, 0.500, 0.500)
Cs (0.000, 0.000, 0.000)
Cs (0.500, 0.750, 0.250)
Se (0.625, 0.350, 0.465)

Calculated values
Calculated density, Mg/m³: 5.0
Symmetry: I-4, No. 82
D(E_F), states/eV/cell: 9.63
Final energy, eV/atom: -4.86
Formation energy (no corrections), eV/atom: -0.768
Size of the total moment, μB per formula unit: 1.954

---

Record 13
HfAs3Pd: relaxed, PBE.

Unit cell a=4.811 b=4.811 c=4.811 alpha=90.00 beta=90.00 gamma=90.00
Sites, in units of the cell vectors:
As (0.000, 0.000, 0.500)
As (0.000, 0.500, 0.000)
Hf (0.500, 0.500, 0.500)
As (0.500, 0.000, 0.000)
Pd (0.000, 0.000, 0.000)

Calculated values
Calculated formation energy, eV per atom: 0.46
Calculated density, Mg/m³: 7.6
Symmetry: Pm-3m, No. 221
D(E_F), states/eV/cell: 2.93
Final energy, eV/atom: -5.36
Size of the total moment, μB per formula unit: 0.000

---

Record 14
KHI3: relaxed, PBE.

Unit cell a=10.937 b=9.309 c=7.665 alpha=90.00 beta=144.75 gamma=90.00
Sites, in units of the cell vectors:
I (0.928, 0.190, 0.878)
I (0.747, 0.540, 0.169)
I (0.072, 0.690, 0.122)
H (0.845, 0.608, 0.790)
H (0.155, 0.108, 0.210)
K (0.235, 0.377, 0.595)
I (0.521, 0.535, 0.291)
I (0.253, 0.040, 0.831)
I (0.479, 0.035, 0.709)
K (0.765, 0.877, 0.405)

Calculated values
Calculated density, Mg/m³: 3.1
Symmetry: P2_1, No. 4
D(E_F), states/eV/cell: 1.45
Final energy, eV/atom: -2.28
Size of the total moment, μB per formula unit: 1.022

---

Record 15
RuC: relaxed, PBE.

Unit cell a=5.604 b=5.604 c=5.604 alpha=90.00 beta=90.00 gamma=90.00
Sites, in units of the cell vectors:
Ru (0.250, 0.000, 0.500)
C (0.000, 0.250, 0.500)
C (0.000, 0.750, 0.500)
Ru (0.000, 0.500, 0.250)
C (0.750, 0.500, 0.000)
C (0.500, 0.000, 0.250)
C (0.500, 0.000, 0.750)
Ru (0.000, 0.500, 0.750)
Ru (0.750, 0.000, 0.500)
Ru (0.500, 0.750, 0.000)
Ru (0.500, 0.250, 0.000)
C (0.250, 0.500, 0.000)

Calculated values
Calculated formation energy, eV per atom: 0.68
Calculated density, Mg/m³: 6.4
Symmetry: Pm-3n, No. 223
D(E_F), states/eV/cell: 8.12
Final energy, eV/atom: -8.57
Size of the total moment, μB per formula unit: 0.000

---

Record 16
PaSi4Sn: relaxed, PBE.

Unit cell a=5.301 b=5.301 c=5.301 alpha=60.00 beta=60.00 gamma=60.00
Sites, in units of the cell vectors:
Pa (0.250, 0.250, 0.250)
Si (0.628, 0.628, 0.628)
Si (0.628, 0.628, 0.116)
Sn (0.000, 0.000, 0.000)
Si (0.116, 0.628, 0.628)
Si (0.628, 0.116, 0.628)

Calculated values
Calculated density, Mg/m³: 7.3
Symmetry: F-43m, No. 216
D(E_F), states/eV/cell: 6.81
Final energy, eV/atom: -5.89
Formation energy (no corrections), eV/atom: -0.023
Size of the total moment, μB per formula unit: 0.000

---

Record 17
HgPt4: relaxed, PBE.

Unit cell a=5.174 b=5.174 c=5.174 alpha=109.47 beta=109.47 gamma=109.47
Sites, in units of the cell vectors:
Hg (0.000, 0.000, 0.000)
Pt (0.500, 0.000, 0.000)
Pt (0.000, 0.500, 0.000)
Pt (0.000, 0.000, 0.500)
Pt (0.500, 0.500, 0.500)

Calculated values
Calculated formation energy, eV per atom: 0.96
Calculated density, Mg/m³: 15.3
Symmetry: Im-3m, No. 229
D(E_F), states/eV/cell: 7.45
Final energy, eV/atom: -3.93
Size of the total moment, μB per formula unit: 0.000

---

Record 18
TeOs2Se: relaxed, PBE.

Unit cell a=9.071 b=9.071 c=9.071 alpha=160.90 beta=159.88 gamma=27.88
Sites, in units of the cell vectors:
Os (0.942, 0.942, 0.000)
Se (0.517, 0.517, 0.000)
Os (0.814, 0.314, 0.500)
Te (0.227, 0.727, 0.500)

Calculated values
Calculated density, Mg/m³: 11.6
Symmetry: Imm2, No. 44
D(E_F), states/eV/cell: 2.14
Final energy, eV/atom: -6.75
Formation energy (no corrections), eV/atom: 0.517
Size of the total moment, μB per formula unit: 0.000

---

Record 19
AlSiPb: relaxed, PBE.

Unit cell a=4.856 b=4.856 c=4.856 alpha=60.00 beta=60.00 gamma=60.00
Sites, in units of the cell vectors:
Si (0.000, 0.000, 0.000)
Pb (0.750, 0.750, 0.750)
Al (0.500, 0.500, 0.500)

Calculated values
Calculated density, Mg/m³: 5.4
Symmetry: F-43m, No. 216
D(E_F), states/eV/cell: 4.06
Final energy, eV/atom: -3.55
Formation energy (no corrections), eV/atom: 0.741
Size of the total moment, μB per formula unit: 0.001

---

Record 20
AcPmBi: relaxed, PBE.

Unit cell a=4.348 b=4.348 c=13.963 alpha=98.96 beta=98.96 gamma=90.00
Sites, in units of the cell vectors:
Bi (0.074, 0.074, 0.148)
Pm (0.400, 0.400, 0.799)
Bi (0.926, 0.926, 0.852)
Ac (0.202, 0.202, 0.404)
Ac (0.798, 0.798, 0.596)
Pm (0.600, 0.600, 0.201)

Calculated values
Calculated formation energy, eV per atom: -0.29
Calculated density, Mg/m³: 7.5
Symmetry: I4/mmm, No. 139
D(E_F), states/eV/cell: 5.52
Final energy, eV/atom: -4.54
Size of the total moment, μB per formula unit: 0.000

---

Record 21
Tb2SmHo3Bi6: relaxed, PBE.

Unit cell a=4.487 b=8.975 c=10.031 alpha=102.85 beta=102.93 gamma=90.00
Sites, in units of the cell vectors:
Bi (0.666, 0.584, 0.332)
Bi (0.000, 0.746, 0.000)
Bi (0.332, 0.918, 0.663)
Bi (0.668, 0.082, 0.337)
Ho (0.166, 0.833, 0.332)
Tb (0.167, 0.333, 0.334)
Bi (0.334, 0.416, 0.668)
Tb (0.833, 0.667, 0.666)
Sm (0.500, 0.000, 0.000)
Ho (0.834, 0.167, 0.668)
Ho (0.500, 0.500, 0.000)
Bi (0.000, 0.254, 0.000)

Calculated values
Calculated formation energy, eV per atom: -0.86
Calculated density, Mg/m³: 9.6
Symmetry: C2/m, No. 12
D(E_F), states/eV/cell: 2.00
Final energy, eV/atom: -5.11
Size of the total moment, μB per formula unit: 0.000

---

Record 22
Hg2Pt2Au: relaxed, PBE.

Unit cell a=7.015 b=7.015 c=3.993 alpha=90.00 beta=90.00 gamma=90.00
Sites, in units of the cell vectors:
Au (0.500, 0.500, 0.000)
Pt (0.135, 0.365, 0.000)
Au (0.000, 0.000, 0.000)
Hg (0.668, 0.832, 0.500)
Pt (0.865, 0.635, 0.000)
Pt (0.365, 0.865, 0.000)
Hg (0.168, 0.668, 0.500)
Hg (0.832, 0.332, 0.500)
Pt (0.635, 0.135, 0.000)
Hg (0.332, 0.168, 0.500)

Calculated values
Calculated formation energy, eV per atom: 0.03
Calculated density, Mg/m³: 16.7
Symmetry: P4/mbm, No. 127
D(E_F), states/eV/cell: 4.01
Final energy, eV/atom: -3.17
Size of the total moment, μB per formula unit: 0.000

---

Record 23
PaTc5P2: relaxed, PBE.

Unit cell a=3.166 b=6.611 c=6.611 alpha=68.23 beta=76.14 gamma=76.14
Sites, in units of the cell vectors:
Tc (0.642, 0.149, 0.568)
Tc (0.642, 0.568, 0.149)
Tc (0.358, 0.851, 0.432)
Pa (0.000, 0.000, 0.000)
Tc (0.000, 0.500, 0.500)
P (0.751, 0.749, 0.749)
Tc (0.358, 0.432, 0.851)
P (0.249, 0.251, 0.251)

Calculated values
Calculated formation energy, eV per atom: -0.37
Calculated density, Mg/m³: 10.6
Symmetry: Immm, No. 71
D(E_F), states/eV/cell: 6.28
Final energy, eV/atom: -9.39
Size of the total moment, μB per formula unit: 0.000

---

Record 24
SrGe2Pd7: relaxed, PBE.

Unit cell a=4.684 b=7.111 c=7.111 alpha=117.79 beta=90.00 gamma=90.00
Sites, in units of the cell vectors:
Pd (0.000, 0.245, 0.755)
Pd (0.500, 0.319, 0.060)
Ge (0.500, 0.302, 0.698)
Sr (0.000, 0.000, 0.000)
Pd (0.500, 0.681, 0.940)
Pd (0.500, 0.500, 0.500)
Pd (0.500, 0.060, 0.319)
Pd (0.500, 0.940, 0.681)
Pd (0.000, 0.755, 0.245)
Ge (0.500, 0.698, 0.302)

Calculated values
Calculated formation energy, eV per atom: -0.21
Calculated density, Mg/m³: 7.7
Symmetry: Cmmm, No. 65
D(E_F), states/eV/cell: 5.10
Final energy, eV/atom: -4.94
Size of the total moment, μB per formula unit: 0.000

---

Record 25
TaNi6Pt8: relaxed, PBE.

Unit cell a=6.945 b=6.945 c=6.605 alpha=58.28 beta=58.28 gamma=60.00
Sites, in units of the cell vectors:
Pt (0.345, 0.873, 0.608)
Ni (0.567, 0.035, 0.112)
Pt (0.591, 0.591, 0.227)
Ni (0.714, 0.433, 0.888)
Ta (0.000, 0.000, 0.000)
Ni (0.286, 0.567, 0.112)
Pt (0.409, 0.409, 0.773)
Pt (0.826, 0.655, 0.392)
Ni (0.433, 0.965, 0.888)
Pt (0.873, 0.174, 0.608)
Pt (0.127, 0.826, 0.392)
Pt (0.655, 0.127, 0.392)
Ni (0.965, 0.714, 0.888)
Ni (0.035, 0.286, 0.112)
Pt (0.174, 0.345, 0.608)

Calculated values
Calculated formation energy, eV per atom: -0.10
Calculated density, Mg/m³: 15.9
Symmetry: R-3, No. 148
D(E_F), states/eV/cell: 21.36
Final energy, eV/atom: -6.43
Size of the total moment, μB per formula unit: 3.651